Record 1
! PBE Na3InHg2, relaxed; values from VASP
! VASP energy = -16.7 eV per cell
! Energy above the most stable polymorph in this dataset = 0 meV/atom
! V = 314.5 Å³/cell
! ΔE_f = -0.1710 eV per atom
! Total magnetization = 0.0 μB/cell
&SYSTEM
  ibrav = 0, nat = 12, ntyp = 3
/
ATOMIC_SPECIES
Na 22.99 Na.upf
In 114.82 In.upf
Hg 200.59 Hg.upf
CELL_PARAMETERS angstrom
4.716 0.000 0.000
0.000 14.158 0.000
0.000 0.000 4.710
ATOMIC_POSITIONS angstrom
Na 1.179 1.126 4.708
Na 1.179 5.953 4.708
Na 1.179 10.619 0.003
Na 3.537 3.540 4.707
Na 3.537 8.205 0.002
Na 3.537 13.033 0.002
In 1.179 3.540 2.352
In 3.537 10.619 2.358
Hg 1.179 8.335 2.357
Hg 1.179 12.903 2.357
Hg 3.537 1.256 2.353
Hg 3.537 5.823 2.353

---

Record 2
! PBE Na2In14Hg9, relaxed; values from VASP
! VASP energy = -43.3 eV per cell
! V = 715.2 Å³/cell
! ΔE_f = 0.0160 eV per atom
! Total magnetization = 0.0 μB/cell
&SYSTEM
  ibrav = 0, nat = 25, ntyp = 3
/
ATOMIC_SPECIES
Na 22.99 Na.upf
In 114.82 In.upf
Hg 200.59 Hg.upf
CELL_PARAMETERS angstrom
8.107 0.000 0.000
-4.053 7.021 0.000
0.000 0.000 12.566
ATOMIC_POSITIONS angstrom
Na 0.000 4.681 3.201
Na 4.053 2.340 9.365
In 0.000 0.000 3.238
In 0.000 0.000 9.328
In -2.614 4.725 11.370
In -2.432 5.094 5.366
In 0.858 2.368 5.366
In 1.269 2.395 11.370
In 2.479 0.441 7.200
In 2.708 0.099 1.197
In 1.345 6.922 11.370
In 1.574 6.580 5.366
In 2.785 4.626 1.197
In 3.195 4.653 7.200
In 6.486 1.927 7.200
In 6.667 2.296 1.197
Hg 0.000 0.000 0.000
Hg -1.904 4.619 8.490
Hg 0.000 4.681 0.146
Hg 1.005 3.062 8.490
Hg 3.154 0.661 4.076
Hg 0.899 6.360 8.490
Hg 3.049 3.959 4.076
Hg 4.053 2.340 12.420
Hg 5.957 2.401 4.076

---

Record 3
! PBE NaIn5Hg2, relaxed; values from VASP
! VASP energy = -32.1 eV per cell
! Energy above the most stable polymorph in this dataset = 0 meV/atom
! V = 415.7 Å³/cell
! ΔE_f = -0.0529 eV per atom
! Total magnetization = 0.0 μB/cell
&SYSTEM
  ibrav = 0, nat = 16, ntyp = 3
/
ATOMIC_SPECIES
Na 22.99 Na.upf
In 114.82 In.upf
Hg 200.59 Hg.upf
CELL_PARAMETERS angstrom
6.804 0.000 0.000
0.000 13.020 0.000
0.000 0.000 4.693
ATOMIC_POSITIONS angstrom
Na 0.000 0.000 0.000
Na 3.402 6.510 0.000
In 0.000 6.510 0.000
In 0.105 3.297 0.000
In 1.640 8.189 2.346
In 1.762 1.678 2.346
In 3.296 9.807 0.000
In 3.402 0.000 0.000
In 3.507 3.213 0.000
In 5.041 11.342 2.346
In 5.164 4.832 2.346
In 6.698 9.724 0.000
Hg 1.575 11.484 2.346
Hg 1.827 4.974 2.346
Hg 4.977 8.046 2.346
Hg 5.228 1.536 2.346

---

Record 4
! PBE NaIn12Hg16, relaxed; values from VASP
! VASP energy = -38.9 eV per cell
! V = 779.2 Å³/cell
! ΔE_f = 0.0031 eV per atom
! Total magnetization = 0.0 μB/cell
&SYSTEM
  ibrav = 0, nat = 29, ntyp = 3
/
ATOMIC_SPECIES
Na 22.99 Na.upf
In 114.82 In.upf
Hg 200.59 Hg.upf
CELL_PARAMETERS angstrom
6.446 -7.590 0.000
6.446 7.590 0.000
-5.274 0.000 7.964
ATOMIC_POSITIONS angstrom
Na 0.000 0.000 0.000
In -0.859 2.810 6.967
In 3.016 6.023 5.361
In 1.470 1.532 2.816
In 5.414 4.451 3.838
In 1.470 -1.532 2.816
In 7.056 1.581 0.493
In -0.859 -2.810 6.967
In 4.096 0.000 4.228
In 7.056 -1.581 0.493
In 4.308 0.000 7.319
In 3.016 -6.023 5.361
In 5.414 -4.451 3.838
Hg 1.974 4.580 2.901
Hg -1.664 0.000 3.038
Hg 4.345 5.265 0.910
Hg 3.245 0.000 0.117
Hg 7.614 4.614 0.104
Hg 2.547 2.600 5.578
Hg 4.519 2.155 2.122
Hg 0.346 0.000 5.684
Hg 4.519 -2.155 2.122
Hg 1.974 -4.580 2.901
Hg 6.329 1.992 5.616
Hg 2.547 -2.600 5.578
Hg 4.345 -5.265 0.910
Hg 7.349 0.000 3.274
Hg 7.614 -4.614 0.104
Hg 6.329 -1.992 5.616

---

Record 5
! PBE Na10In3Hg3, relaxed; values from VASP
! VASP energy = -24.0 eV per cell
! V = 469.9 Å³/cell
! ΔE_f = -0.1084 eV per atom
! Total magnetization = 0.0 μB/cell
&SYSTEM
  ibrav = 0, nat = 16, ntyp = 3
/
ATOMIC_SPECIES
Na 22.99 Na.upf
In 114.82 In.upf
Hg 200.59 Hg.upf
CELL_PARAMETERS angstrom
9.343 0.000 0.000
-4.671 8.091 0.000
0.000 0.000 6.217
ATOMIC_POSITIONS angstrom
Na -1.144 1.982 0.000
Na -3.544 6.139 3.108
Na 1.127 1.952 3.108
Na 2.289 0.000 0.000
Na 0.000 5.394 1.526
Na 0.000 5.394 4.690
Na 4.671 2.697 1.526
Na 4.671 2.697 4.690
Na 3.527 6.109 0.000
Na 7.089 0.000 3.108
In -1.916 3.319 3.108
In 3.833 0.000 3.108
In 2.755 4.772 3.108
Hg -2.773 4.803 0.000
Hg 1.898 3.288 0.000
Hg 5.547 0.000 0.000

---

Record 6
! PBE Na3In2Hg7, relaxed; values from VASP
! VASP energy = -12.9 eV per cell
! Energy above the most stable polymorph in this dataset = 0 meV/atom
! V = 324.1 Å³/cell
! ΔE_f = -0.1161 eV per atom
! Total magnetization = 0.0 μB/cell
&SYSTEM
  ibrav = 0, nat = 12, ntyp = 3
/
ATOMIC_SPECIES
Na 22.99 Na.upf
In 114.82 In.upf
Hg 200.59 Hg.upf
CELL_PARAMETERS angstrom
2.620 -17.378 0.000
2.620 17.378 0.000
0.000 0.000 3.559
ATOMIC_POSITIONS angstrom
Na 0.000 0.000 0.000
Na 2.620 10.779 0.000
Na 2.620 -10.779 0.000
In 2.620 5.034 1.780
In 2.620 -5.034 1.780
Hg 2.620 13.861 1.780
Hg 2.620 7.979 1.780
Hg 2.620 2.419 0.000
Hg 2.620 0.000 1.780
Hg 2.620 -2.419 0.000
Hg 2.620 -7.979 1.780
Hg 2.620 -13.861 1.780

---

Record 7
! PBE Na6InHg2, relaxed; values from VASP
! VASP energy = -12.5 eV per cell
! V = 269.5 Å³/cell
! ΔE_f = -0.1334 eV per atom
! Total magnetization = 0.0 μB/cell
&SYSTEM
  ibrav = 0, nat = 9, ntyp = 3
/
ATOMIC_SPECIES
Na 22.99 Na.upf
In 114.82 In.upf
Hg 200.59 Hg.upf
CELL_PARAMETERS angstrom
2.717 1.569 10.538
-2.717 1.569 10.538
0.000 -3.137 10.538
ATOMIC_POSITIONS angstrom
Na 0.000 0.000 2.674
Na 0.000 0.000 6.285
Na 0.000 0.000 9.746
Na 0.000 0.000 21.870
Na 0.000 0.000 25.330
Na 0.000 0.000 28.942
In 0.000 0.000 15.808
Hg 0.000 0.000 12.865
Hg 0.000 0.000 18.750

---

Record 8
! PBE Na2In2Hg, relaxed; values from VASP
! VASP energy = -18.3 eV per cell
! Energy above the most stable polymorph in this dataset = 18 meV/atom
! V = 277.0 Å³/cell
! ΔE_f = -0.1451 eV per atom
! Total magnetization = 0.0 μB/cell
&SYSTEM
  ibrav = 0, nat = 10, ntyp = 3
/
ATOMIC_SPECIES
Na 22.99 Na.upf
In 114.82 In.upf
Hg 200.59 Hg.upf
CELL_PARAMETERS angstrom
5.671 -2.530 0.000
5.671 2.530 0.000
-2.893 0.000 9.654
ATOMIC_POSITIONS angstrom
Na -0.136 0.000 3.607
Na 1.750 0.000 0.575
Na 6.699 0.000 9.079
Na 8.586 0.000 6.047
In 3.272 0.000 3.671
In 5.167 0.000 1.353
In 3.282 0.000 8.300
In 5.177 0.000 5.983
Hg 0.811 0.000 6.737
Hg 7.638 0.000 2.917

---

Record 9
! PBE Na4InHg8, relaxed; values from VASP
! VASP energy = -12.5 eV per cell
! V = 352.0 Å³/cell
! ΔE_f = -0.1618 eV per atom
! Total magnetization = 0.0 μB/cell
&SYSTEM
  ibrav = 0, nat = 13, ntyp = 3
/
ATOMIC_SPECIES
Na 22.99 Na.upf
In 114.82 In.upf
Hg 200.59 Hg.upf
CELL_PARAMETERS angstrom
4.593 0.000 0.000
0.000 4.761 0.000
0.000 0.000 16.100
ATOMIC_POSITIONS angstrom
Na 0.000 0.000 0.000
Na 0.000 2.380 2.561
Na 2.296 0.000 6.988
Na 2.296 2.380 10.444
In 0.000 0.000 12.009
Hg 0.000 0.000 4.725
Hg 0.000 0.000 9.135
Hg 0.000 2.380 7.193
Hg 0.000 2.380 13.875
Hg 2.296 0.000 2.383
Hg 2.296 0.000 13.906
Hg 2.296 2.380 0.145
Hg 2.296 2.380 4.828

---

Record 10
! PBE NaIn4Hg5, relaxed; values from VASP
! VASP energy = -14.1 eV per cell
! Energy above the most stable polymorph in this dataset = 24 meV/atom
! V = 277.6 Å³/cell
! ΔE_f = -0.0312 eV per atom
! Total magnetization = 0.0 μB/cell
&SYSTEM
  ibrav = 0, nat = 10, ntyp = 3
/
ATOMIC_SPECIES
Na 22.99 Na.upf
In 114.82 In.upf
Hg 200.59 Hg.upf
CELL_PARAMETERS angstrom
-4.732 4.732 3.099
4.732 -4.732 3.099
4.732 4.732 -3.099
ATOMIC_POSITIONS angstrom
Na 0.000 0.000 0.000
In 3.752 1.996 1.236
In 2.736 -0.980 4.335
In 1.996 5.713 1.236
In 0.980 2.736 4.335
Hg 2.837 -0.864 1.242
Hg 6.628 0.864 1.242
Hg 0.000 0.000 3.070
Hg 0.864 2.837 1.242
Hg -0.864 6.628 1.242

---

Record 11
! PBE NaIn6Hg12, relaxed; values from VASP
! VASP energy = -21.7 eV per cell
! Energy above the most stable polymorph in this dataset = 0 meV/atom
! V = 498.8 Å³/cell
! ΔE_f = -0.0193 eV per atom
! Total magnetization = 0.0 μB/cell
&SYSTEM
  ibrav = 0, nat = 19, ntyp = 3
/
ATOMIC_SPECIES
Na 22.99 Na.upf
In 114.82 In.upf
Hg 200.59 Hg.upf
CELL_PARAMETERS angstrom
7.262 4.193 2.731
-7.262 4.193 2.731
0.000 -8.385 2.731
ATOMIC_POSITIONS angstrom
Na 0.000 0.000 0.000
In -1.989 0.180 2.722
In 0.838 -1.812 2.722
In 1.150 1.632 2.722
In -1.150 -1.632 5.470
In -0.838 1.812 5.470
In 1.988 -0.180 5.470
Hg -2.267 -3.091 2.830
Hg -4.650 2.198 2.686
Hg 0.421 -5.126 2.686
Hg -4.229 -2.928 5.506
Hg -1.543 3.509 2.830
Hg -3.811 0.418 5.362
Hg 3.811 -0.418 2.830
Hg 1.543 -3.509 5.362
Hg 4.229 2.928 2.686
Hg -0.421 5.126 5.506
Hg 4.650 -2.198 5.506
Hg 2.267 3.091 5.362

---

Record 12
! PBE Na2InHg4, relaxed; values from VASP
! VASP energy = -7.6 eV per cell
! Energy above the most stable polymorph in this dataset = 0 meV/atom
! V = 188.4 Å³/cell
! ΔE_f = -0.1456 eV per atom
! Total magnetization = 0.0 μB/cell
&SYSTEM
  ibrav = 0, nat = 7, ntyp = 3
/
ATOMIC_SPECIES
Na 22.99 Na.upf
In 114.82 In.upf
Hg 200.59 Hg.upf
CELL_PARAMETERS angstrom
0.000 5.337 5.344
3.303 0.000 5.344
3.303 5.337 0.000
ATOMIC_POSITIONS angstrom
Na 1.652 2.668 2.672
Na 4.955 8.005 8.016
In 0.000 0.000 0.000
Hg 3.303 5.337 3.160
Hg 3.303 3.188 5.344
Hg 3.303 7.485 5.344
Hg 3.303 5.337 7.529

---

Record 13
! PBE Na4In5Hg6, relaxed; values from VASP
! VASP energy = -45.3 eV per cell
! V = 815.3 Å³/cell
! ΔE_f = -0.1261 eV per atom
! Total magnetization = 0.0 μB/cell
&SYSTEM
  ibrav = 0, nat = 30, ntyp = 3
/
ATOMIC_SPECIES
Na 22.99 Na.upf
In 114.82 In.upf
Hg 200.59 Hg.upf
CELL_PARAMETERS angstrom
2.343 -11.605 0.000
2.343 11.605 0.000
0.000 0.000 14.990
ATOMIC_POSITIONS angstrom
Na 2.343 10.776 7.495
Na 2.343 10.361 11.557
Na 2.343 8.563 4.130
Na 2.343 7.377 13.999
Na 2.343 -7.377 6.504
Na 2.343 -8.563 11.625
Na 2.343 -10.361 4.063
Na 2.343 -10.776 0.000
In 2.343 7.455 9.366
In 2.343 4.233 4.177
In 2.343 4.139 8.893
In 2.343 3.496 14.189
In 2.343 0.700 9.734
In 2.343 -0.700 2.239
In 2.343 -3.496 6.694
In 2.343 -4.139 1.399
In 2.343 -4.233 11.672
In 2.343 -7.455 1.872
Hg 2.343 9.459 1.180
Hg 2.343 6.250 6.564
Hg 2.343 5.251 11.634
Hg 2.343 2.180 1.883
Hg 2.343 1.882 6.328
Hg 2.343 0.898 12.714
Hg 2.343 -0.898 5.219
Hg 2.343 -1.882 13.823
Hg 2.343 -2.180 9.378
Hg 2.343 -5.251 4.139
Hg 2.343 -6.250 14.058
Hg 2.343 -9.459 8.675

---

Record 14
! PBE NaIn4Hg, relaxed; values from VASP
! VASP energy = -12.6 eV per cell
! Energy above the most stable polymorph in this dataset = 82 meV/atom
! V = 170.9 Å³/cell
! ΔE_f = -0.0026 eV per atom
! Total magnetization = 0.0 μB/cell
&SYSTEM
  ibrav = 0, nat = 6, ntyp = 3
/
ATOMIC_SPECIES
Na 22.99 Na.upf
In 114.82 In.upf
Hg 200.59 Hg.upf
CELL_PARAMETERS angstrom
0.000 4.404 4.404
4.404 0.000 4.404
4.404 4.404 0.000
ATOMIC_POSITIONS angstrom
Na 0.000 0.000 0.000
In 3.304 3.304 3.304
In 5.504 5.504 3.304
In 5.504 3.304 5.504
In 3.304 5.504 5.504
Hg 6.606 6.606 6.606

---

Record 15
! PBE NaIn2Hg8, relaxed; values from VASP
! VASP energy = -9.9 eV per cell
! Energy above the most stable polymorph in this dataset = 8 meV/atom
! V = 288.7 Å³/cell
! ΔE_f = -0.0601 eV per atom
! Total magnetization = 0.0 μB/cell
&SYSTEM
  ibrav = 0, nat = 11, ntyp = 3
/
ATOMIC_SPECIES
Na 22.99 Na.upf
In 114.82 In.upf
Hg 200.59 Hg.upf
CELL_PARAMETERS angstrom
8.831 -1.899 0.000
8.831 1.899 0.000
-1.495 0.000 8.608
ATOMIC_POSITIONS angstrom
Na 0.000 0.000 0.000
In 4.314 0.000 3.099
In 11.852 0.000 5.509
Hg 0.925 0.000 3.946
Hg 1.791 0.000 7.831
Hg 5.178 0.000 7.038
Hg 7.696 0.000 2.318
Hg 8.470 0.000 6.290
Hg 10.988 0.000 1.570
Hg 14.375 0.000 0.777
Hg 15.241 0.000 4.662

---

Record 16
! PBE NaInHg2, relaxed; values from VASP
! VASP energy = -19.2 eV per cell
! V = 453.7 Å³/cell
! ΔE_f = -0.0365 eV per atom
! Total magnetization = 0.0 μB/cell
&SYSTEM
  ibrav = 0, nat = 16, ntyp = 3
/
ATOMIC_SPECIES
Na 22.99 Na.upf
In 114.82 In.upf
Hg 200.59 Hg.upf
CELL_PARAMETERS angstrom
4.645 0.000 0.000
0.000 4.645 0.000
0.000 0.000 21.024
ATOMIC_POSITIONS angstrom
Na 0.000 0.000 0.000
Na 0.000 2.323 5.256
Na 2.323 0.000 15.768
Na 2.323 2.323 10.512
In 0.000 0.000 10.512
In 0.000 2.323 15.768
In 2.323 0.000 5.256
In 2.323 2.323 0.000
Hg 1.150 1.161 13.140
Hg 1.161 3.472 18.396
Hg 1.161 3.496 7.884
Hg 1.173 1.161 2.628
Hg 3.472 3.484 2.628
Hg 3.484 1.150 7.884
Hg 3.484 1.173 18.396
Hg 3.496 3.484 13.140

---

Record 17
! PBE Na2In3Hg5, relaxed; values from VASP
! VASP energy = -26.0 eV per cell
! Energy above the most stable polymorph in this dataset = 30 meV/atom
! V = 573.9 Å³/cell
! ΔE_f = -0.0621 eV per atom
! Total magnetization = 0.0 μB/cell
&SYSTEM
  ibrav = 0, nat = 20, ntyp = 3
/
ATOMIC_SPECIES
Na 22.99 Na.upf
In 114.82 In.upf
Hg 200.59 Hg.upf
CELL_PARAMETERS angstrom
-6.507 6.724 3.279
6.507 -6.724 3.279
6.507 6.724 -3.279
ATOMIC_POSITIONS angstrom
Na 2.992 1.731 0.000
Na 2.992 -1.731 3.279
Na 3.515 8.455 0.000
Na 3.515 4.994 3.279
In 4.882 -4.874 3.279
In 6.507 0.000 1.640
In 4.882 4.874 0.000
In 1.625 1.850 3.279
In 0.000 6.724 1.640
In 1.625 11.598 0.000
Hg 6.507 -3.055 1.640
Hg 8.627 1.397 0.000
Hg 0.000 0.000 1.640
Hg 2.120 5.328 0.000
Hg 6.507 3.055 1.640
Hg 0.000 3.669 1.640
Hg 4.387 1.397 3.279
Hg 0.000 0.000 4.919
Hg -2.120 5.328 3.279
Hg 0.000 9.779 1.640

---

Record 18
! PBE Na5InHg, relaxed; values from VASP
! VASP energy = -20.3 eV per cell
! Energy above the most stable polymorph in this dataset = 8 meV/atom
! V = 419.3 Å³/cell
! ΔE_f = -0.0727 eV per atom
! Total magnetization = 0.0 μB/cell
&SYSTEM
  ibrav = 0, nat = 14, ntyp = 3
/
ATOMIC_SPECIES
Na 22.99 Na.upf
In 114.82 In.upf
Hg 200.59 Hg.upf
CELL_PARAMETERS angstrom
4.052 -4.385 0.000
4.052 4.385 0.000
-3.288 0.000 11.798
ATOMIC_POSITIONS angstrom
Na 1.789 2.053 1.697
Na 1.587 3.965 8.849
Na 1.484 1.232 5.308
Na 4.671 2.053 4.203
Na 4.977 1.232 0.591
Na -0.160 -1.232 11.207
Na 0.145 -2.053 7.596
Na 3.333 -1.232 6.491
Na 3.230 -3.965 2.950
Na 3.028 -2.053 10.102
In 1.587 0.672 8.849
In 3.230 -0.672 2.950
Hg 0.000 0.000 0.000
Hg -1.644 0.000 5.899